(1)
First-principles (GGA-PBE) data for La2Pr4HoTm2 after structural relaxation, as listed in Alexandria via LeMat-Bulk.

Calculated values
Energy of formation ... 29.6 meV per atom
VASP energy ... -84.45 eV per cell

```
data_La2Pr4HoTm2
_space_group_name_H-M_alt 'C 1 2/m 1'
_space_group_IT_number 12
_cell_length_a 15.581
_cell_length_b 5.194
_cell_length_c 8.110
_cell_angle_alpha 90.00
_cell_angle_beta 108.74
_cell_angle_gamma 90.00
loop_
_space_group_symop_operation_xyz
'x,y,z'
'-x,-y,-z'
'-x,y,-z'
'x,-y,z'
'x+1/2,y+1/2,z'
'-x+1/2,-y+1/2,-z'
'-x+1/2,y+1/2,-z'
'x+1/2,-y+1/2,z'
loop_
_atom_site_label
_atom_site_fract_x
_atom_site_fract_y
_atom_site_fract_z
La1 0.111 0.000 0.172
Pr1 0.055 0.500 0.829
Pr2 0.220 0.000 0.828
Ho1 0.000 0.000 0.500
Tm1 0.167 0.500 0.500
```

***

(2)
First-principles (GGA-PBE) data for Li2LaAuO after structural relaxation, as listed in Alexandria via LeMat-Bulk.

Calculated values
Formation energy from raw total energies ... -1.3150 eV/atom
VASP energy ... -23.57 eV per cell

```
data_Li2LaAuO
_space_group_name_H-M_alt 'P 4/m m m'
_space_group_IT_number 123
_space_group_name_Hall '-P 4 2'
_cell_length_a 4.340
_cell_length_b 4.340
_cell_length_c 4.812
_cell_angle_alpha 90.00
_cell_angle_beta 90.00
_cell_angle_gamma 90.00
loop_
_atom_site_label
_atom_site_fract_x
_atom_site_fract_y
_atom_site_fract_z
Li1 0.000 0.500 0.000
La1 0.000 0.000 0.500
Au1 0.500 0.500 0.500
O1 0.000 0.000 0.000
```

***

(3)
First-principles (GGA-PBE) data for Be2ZnSi after structural relaxation, as listed in Alexandria via LeMat-Bulk.

Calculated values
Formation energy from raw total energies ... 0.3341 eV/atom
Energy above the lowest structure with this stoichiometry ... 61 meV/atom
VASP energy ... -25.63 eV per cell

```
data_Be2ZnSi
_space_group_name_H-M_alt 'I 4/m m m'
_space_group_IT_number 139
_space_group_name_Hall '-I 4 2'
_cell_length_a 3.611
_cell_length_b 3.611
_cell_length_c 7.142
_cell_angle_alpha 90.00
_cell_angle_beta 90.00
_cell_angle_gamma 90.00
loop_
_atom_site_label
_atom_site_fract_x
_atom_site_fract_y
_atom_site_fract_z
Be1 0.000 0.500 0.250
Zn1 0.000 0.000 0.000
Si1 0.000 0.000 0.500
```

***

(4)
First-principles (GGA-PBE) data for NaLaTb after structural relaxation, as listed in Alexandria via LeMat-Bulk.

Calculated values
Energy of formation ... 118.3 meV per atom
Energy above the lowest structure with this stoichiometry ... 13 meV/atom
VASP energy ... -10.52 eV per cell

```
data_NaLaTb
_space_group_name_H-M_alt 'P 3 m 1'
_space_group_IT_number 156
_cell_length_a 3.6154
_cell_length_b 3.6154
_cell_length_c 9.3588
_cell_angle_alpha 90.00
_cell_angle_beta 90.00
_cell_angle_gamma 120.00
loop_
_space_group_symop_operation_xyz
'x,y,z'
'-y,x-y,z'
'-x+y,-x,z'
'-y,-x,z'
'-x+y,y,z'
'x,x-y,z'
loop_
_atom_site_label
_atom_site_fract_x
_atom_site_fract_y
_atom_site_fract_z
Na1 0.0000 0.0000 0.0000
La1 0.3333 0.6667 0.6436
Tb1 0.6667 0.3333 0.3399
```

***

(5)
First-principles (GGA-PBE) data for Ac2AgTe after structural relaxation, as listed in Alexandria via LeMat-Bulk.

Calculated values
Formation energy from raw total energies ... -0.6423 eV/atom
Energy above the lowest structure with this stoichiometry ... 200 meV/atom
VASP energy ... -67.12 eV per cell

```
data_Ac2AgTe
_space_group_name_H-M_alt 'F m -3 m'
_space_group_IT_number 225
_space_group_name_Hall '-F 4 2 3'
_cell_length_a 8.075
_cell_length_b 8.075
_cell_length_c 8.075
_cell_angle_alpha 90.00
_cell_angle_beta 90.00
_cell_angle_gamma 90.00
loop_
_atom_site_label
_atom_site_fract_x
_atom_site_fract_y
_atom_site_fract_z
Ac1 0.250 0.250 0.250
Ag1 0.000 0.000 0.000
Te1 0.000 0.000 0.500
```

***

(6)
First-principles (GGA-PBE) data for LiBiSbRh after structural relaxation, as listed in Alexandria via LeMat-Bulk.

Calculated values
Formation energy from raw total energies ... -0.2897 eV/atom
VASP energy ... -73.71 eV per cell

```
data_LiBiSbRh
_space_group_name_H-M_alt 'F -4 3 m'
_space_group_IT_number 216
_space_group_name_Hall 'F -4 2 3'
_cell_length_a 6.835
_cell_length_b 6.835
_cell_length_c 6.835
_cell_angle_alpha 90.00
_cell_angle_beta 90.00
_cell_angle_gamma 90.00
loop_
_atom_site_label
_atom_site_fract_x
_atom_site_fract_y
_atom_site_fract_z
Li1 0.000 0.000 0.000
Bi1 0.250 0.250 0.250
Sb1 0.250 0.250 0.750
Rh1 0.000 0.000 0.500
```

***

(7)
First-principles (GGA-PBE) data for Sc4CuAg2 after structural relaxation, as listed in Alexandria via LeMat-Bulk.

Calculated values
Energy of formation ... -101.1 meV per atom
Energy above the lowest structure with this stoichiometry ... 0 meV/atom
VASP energy ... -107.50 eV per cell

```
data_Sc4CuAg2
_space_group_name_H-M_alt 'R -3 m'
_space_group_IT_number 166
_space_group_name_Hall '-R 3 2"'
_cell_length_a 4.7409
_cell_length_b 4.7409
_cell_length_c 23.0729
_cell_angle_alpha 90.00
_cell_angle_beta 90.00
_cell_angle_gamma 120.00
loop_
_atom_site_label
_atom_site_fract_x
_atom_site_fract_y
_atom_site_fract_z
Sc1 0.0000 0.0000 0.1236
Sc2 0.0000 0.0000 0.3745
Cu1 0.0000 0.0000 0.5000
Ag1 0.0000 0.0000 0.2484
```

***

(8)
First-principles (GGA-PBE) data for MgMoH after structural relaxation, as listed in Alexandria via LeMat-Bulk.

Calculated values
Energy above the lowest structure with this stoichiometry ... 42 meV/atom
VASP energy ... -30.91 eV per cell

```
data_MgMoH
_space_group_name_H-M_alt 'P 1'
_space_group_IT_number 1
_cell_length_a 2.911
_cell_length_b 4.638
_cell_length_c 5.738
_cell_angle_alpha 89.41
_cell_angle_beta 78.12
_cell_angle_gamma 87.31
loop_
_space_group_symop_operation_xyz
'x,y,z'
loop_
_atom_site_label
_atom_site_fract_x
_atom_site_fract_y
_atom_site_fract_z
Mg1 0.000 0.000 0.000
Mg2 0.347 0.519 0.265
Mo1 0.619 0.013 0.533
Mo2 0.803 0.539 0.737
H1 0.210 0.017 0.320
H2 0.321 0.288 0.770
```

***

(9)
First-principles (GGA-PBE) data for ZrPtRhAu after structural relaxation, as listed in Alexandria via LeMat-Bulk.

Calculated values
Energy of formation ... -767.1 meV per atom
VASP energy ... -28.29 eV per cell

```
data_ZrPtRhAu
_space_group_name_H-M_alt 'P m m m'
_space_group_IT_number 47
_cell_length_a 3.869
_cell_length_b 4.096
_cell_length_c 4.242
_cell_angle_alpha 90.00
_cell_angle_beta 90.00
_cell_angle_gamma 90.00
loop_
_space_group_symop_operation_xyz
'x,y,z'
'-x,-y,-z'
'-x,-y,z'
'x,y,-z'
'x,-y,-z'
'-x,y,z'
'-x,y,-z'
'x,-y,z'
loop_
_atom_site_label
_atom_site_fract_x
_atom_site_fract_y
_atom_site_fract_z
Zr1 0.000 0.000 0.000
Pt1 0.500 0.000 0.500
Rh1 0.500 0.500 0.000
Au1 0.000 0.500 0.500
```

***

(10)
First-principles (GGA-PBE) data for RbMgGe after structural relaxation, as listed in Alexandria via LeMat-Bulk.

Calculated values
Energy of formation ... 3.7 meV per atom
Energy above the lowest structure with this stoichiometry ... 154 meV/atom
VASP energy ... -14.34 eV per cell

```
data_RbMgGe
_space_group_name_H-M_alt 'P 1 21/m 1'
_space_group_IT_number 11
_cell_length_a 5.348
_cell_length_b 4.166
_cell_length_c 10.170
_cell_angle_alpha 90.00
_cell_angle_beta 97.81
_cell_angle_gamma 90.00
loop_
_space_group_symop_operation_xyz
'x,y,z'
'-x,-y,-z'
'-x,y+1/2,-z'
'x,-y+1/2,z'
loop_
_atom_site_label
_atom_site_fract_x
_atom_site_fract_y
_atom_site_fract_z
Rb1 0.206 0.250 0.331
Mg1 0.343 0.250 0.885
Ge1 0.140 0.750 0.046
```

***

Number 1: ρ 7.182 Mg/m³. Number 2: ρ 6.700 Mg/m³. Number 3: ρ 3.976 Mg/m³. Number 4: ρ 5.028 Mg/m³. Number 5: ρ 8.698 Mg/m³. Number 6: ρ 9.165 Mg/m³. Number 7: ρ 5.092 Mg/m³. Number 8: ρ 5.317 Mg/m³. Number 9: ρ 14.481 Mg/m³. Number 10: ρ 2.698 Mg/m³.